Record 1
# ScZnFe

A geometry-optimized ScZnFe structure (GGA-PBE, Alexandria).

Magnetic moment (μB/cell): 1.6
DOS at the Fermi energy (states/eV per cell): 4.29
Formation energy (eV per atom): -0.0314
VASP energy (eV/cell): -16.16

```
data_ScZnFe
_chemical_formula_sum 'Sc1 Zn1 Fe1'
_cell_length_a 4.3389
_cell_length_b 4.3389
_cell_length_c 2.9667
_cell_angle_alpha 90.00
_cell_angle_beta 90.00
_cell_angle_gamma 120.00
_space_group_name_H-M_alt 'P -6 m 2'
_space_group_IT_number 187
_space_group_name_Hall 'P -6 2'
loop_
_atom_site_label
_atom_site_type_symbol
_atom_site_fract_x
_atom_site_fract_y
_atom_site_fract_z
Sc1 Sc 0.0000 0.0000 0.0000
Zn1 Zn 0.3333 0.6667 0.5000
Fe1 Fe 0.6667 0.3333 0.5000
```


Record 2
# PrNdTmHg

A geometry-optimized PrNdTmHg structure (GGA-PBE, Alexandria).

Magnetic moment (μB/cell): 0.0
DOS at the Fermi energy (states/eV per cell): 22.68
Formation energy (eV per atom): -0.0860
VASP energy (eV/cell): -58.66

```
data_PrNdTmHg
_chemical_formula_sum 'Pr4 Nd4 Tm4 Hg4'
_cell_length_a 7.820
_cell_length_b 7.820
_cell_length_c 7.820
_cell_angle_alpha 90.00
_cell_angle_beta 90.00
_cell_angle_gamma 90.00
_space_group_name_H-M_alt 'F -4 3 m'
_space_group_IT_number 216
_space_group_name_Hall 'F -4 2 3'
loop_
_atom_site_label
_atom_site_type_symbol
_atom_site_fract_x
_atom_site_fract_y
_atom_site_fract_z
Pr1 Pr 0.000 0.000 0.000
Nd1 Nd 0.000 0.000 0.500
Tm1 Tm 0.250 0.250 0.250
Hg1 Hg 0.250 0.250 0.750
```


Record 3
# Tb3Sm2Tm4

A geometry-optimized Tb3Sm2Tm4 structure (GGA-PBE, Alexandria).

Magnetic moment (μB/cell): 0.0
DOS at the Fermi energy (states/eV per cell): 11.76
Formation energy (eV per atom): 0.0196
VASP energy (eV/cell): -41.04

```
data_Tb3Sm2Tm4
_chemical_formula_sum 'Tb3 Sm2 Tm4'
_cell_length_a 6.120
_cell_length_b 6.133
_cell_length_c 9.358
_cell_angle_alpha 71.09
_cell_angle_beta 71.28
_cell_angle_gamma 60.15
_space_group_name_H-M_alt 'P -1'
_space_group_IT_number 2
_space_group_name_Hall '-P 1'
loop_
_atom_site_label
_atom_site_type_symbol
_atom_site_fract_x
_atom_site_fract_y
_atom_site_fract_z
Tb1 Tb 0.000 0.000 0.000
Tb2 Tb 0.110 0.777 0.669
Sm1 Sm 0.443 0.112 0.668
Tm1 Tm 0.223 0.555 0.332
Tm2 Tm 0.333 0.335 0.000
```


Record 4
# Pm3OsI2

A geometry-optimized Pm3OsI2 structure (GGA-PBE, Alexandria).

Magnetic moment (μB/cell): 0.0
Formation energy without anion corrections (eV/atom): -0.6558
DOS at the Fermi energy (states/eV per cell): 10.28
VASP energy (eV/cell): -65.03

```
data_Pm3OsI2
_chemical_formula_sum 'Pm6 Os2 I4'
_cell_length_a 4.138
_cell_length_b 6.040
_cell_length_c 15.403
_cell_angle_alpha 90.00
_cell_angle_beta 90.00
_cell_angle_gamma 90.00
_space_group_name_H-M_alt 'I m m m'
_space_group_IT_number 71
_space_group_name_Hall '-I 2 2'
loop_
_atom_site_label
_atom_site_type_symbol
_atom_site_fract_x
_atom_site_fract_y
_atom_site_fract_z
Pm1 Pm 0.000 0.000 0.000
Pm2 Pm 0.000 0.000 0.382
Os1 Os 0.000 0.500 0.000
I1 I 0.000 0.500 0.313
```


Record 5
# KInIr2

A geometry-optimized KInIr2 structure (GGA-PBE, Alexandria).

Magnetic moment (μB/cell): 0.0
DOS at the Fermi energy (states/eV per cell): 4.72
Formation energy (eV per atom): 0.9135
VASP energy (eV/cell): -17.90

```
data_KInIr2
_chemical_formula_sum 'K1 In1 Ir2'
_cell_length_a 4.754
_cell_length_b 4.754
_cell_length_c 3.367
_cell_angle_alpha 90.00
_cell_angle_beta 90.00
_cell_angle_gamma 90.00
_space_group_name_H-M_alt 'P 4/m m m'
_space_group_IT_number 123
_space_group_name_Hall '-P 4 2'
loop_
_atom_site_label
_atom_site_type_symbol
_atom_site_fract_x
_atom_site_fract_y
_atom_site_fract_z
K1 K 0.000 0.000 0.000
In1 In 0.500 0.500 0.000
Ir1 Ir 0.000 0.500 0.500
```


Record 6
# BeVSiOs

A geometry-optimized BeVSiOs structure (GGA-PBE, Alexandria).

Magnetic moment (μB/cell): 7.4
Formation energy without anion corrections (eV/atom): -0.2687
DOS at the Fermi energy (states/eV per cell): 10.67
VASP energy (eV/cell): -122.29

```
data_BeVSiOs
_chemical_formula_sum 'Be4 V4 Si4 Os4'
_cell_length_a 5.783
_cell_length_b 5.783
_cell_length_c 5.783
_cell_angle_alpha 90.00
_cell_angle_beta 90.00
_cell_angle_gamma 90.00
_space_group_name_H-M_alt 'F -4 3 m'
_space_group_IT_number 216
_space_group_name_Hall 'F -4 2 3'
loop_
_atom_site_label
_atom_site_type_symbol
_atom_site_fract_x
_atom_site_fract_y
_atom_site_fract_z
Be1 Be 0.000 0.000 0.000
V1 V 0.250 0.250 0.750
Si1 Si 0.000 0.000 0.500
Os1 Os 0.250 0.250 0.250
```


Record 7
# Tb2Dy2Si4Ir

A geometry-optimized Tb2Dy2Si4Ir structure (GGA-PBE, Alexandria).

Magnetic moment (μB/cell): 0.0
Formation energy without anion corrections (eV/atom): -0.3829
DOS at the Fermi energy (states/eV per cell): 17.13
VASP energy (eV/cell): -104.93

```
data_Tb2Dy2Si4Ir
_chemical_formula_sum 'Tb4 Dy4 Si8 Ir2'
_cell_length_a 6.852
_cell_length_b 6.852
_cell_length_c 8.523
_cell_angle_alpha 90.00
_cell_angle_beta 90.00
_cell_angle_gamma 90.00
_space_group_name_H-M_alt 'I 4/m m m'
_space_group_IT_number 139
_space_group_name_Hall '-I 4 2'
loop_
_atom_site_label
_atom_site_type_symbol
_atom_site_fract_x
_atom_site_fract_y
_atom_site_fract_z
Tb1 Tb 0.000 0.500 0.250
Dy1 Dy 0.000 0.000 0.187
Si1 Si 0.247 0.247 0.500
Ir1 Ir 0.000 0.000 0.500
```


Record 8
# Nd6Y3HoEr2

A geometry-optimized Nd6Y3HoEr2 structure (GGA-PBE, Alexandria).

Magnetic moment (μB/cell): 0.0
DOS at the Fermi energy (states/eV per cell): 26.96
Formation energy (eV per atom): 0.0105
VASP energy (eV/cell): -123.15

```
data_Nd6Y3HoEr2
_chemical_formula_sum 'Nd12 Y6 Ho2 Er4'
_cell_length_a 6.276
_cell_length_b 10.868
_cell_length_c 11.845
_cell_angle_alpha 90.00
_cell_angle_beta 100.14
_cell_angle_gamma 90.00
_space_group_name_H-M_alt 'C 1 2/m 1'
_space_group_IT_number 12
_space_group_name_Hall '-C 2y'
loop_
_atom_site_label
_atom_site_type_symbol
_atom_site_fract_x
_atom_site_fract_y
_atom_site_fract_z
Nd1 Nd 0.250 0.000 0.248
Nd2 Nd 0.250 0.167 0.752
Y1 Y 0.000 0.000 0.500
Y2 Y 0.000 0.333 0.500
Ho1 Ho 0.000 0.500 0.000
Er1 Er 0.000 0.167 0.000
```


Record 9
# Pr5Nd2Th2

A geometry-optimized Pr5Nd2Th2 structure (GGA-PBE, Alexandria).

Magnetic moment (μB/cell): 0.0
DOS at the Fermi energy (states/eV per cell): 14.84
Formation energy (eV per atom): 0.0575
VASP energy (eV/cell): -47.75

```
data_Pr5Nd2Th2
_chemical_formula_sum 'Pr5 Nd2 Th2'
_cell_length_a 6.361
_cell_length_b 6.387
_cell_length_c 8.192
_cell_angle_alpha 83.04
_cell_angle_beta 75.01
_cell_angle_gamma 80.15
_space_group_name_H-M_alt 'P -1'
_space_group_IT_number 2
_space_group_name_Hall '-P 1'
loop_
_atom_site_label
_atom_site_type_symbol
_atom_site_fract_x
_atom_site_fract_y
_atom_site_fract_z
Pr1 Pr 0.000 0.000 0.000
Pr2 Pr 0.116 0.225 0.552
Pr3 Pr 0.449 0.885 0.231
Nd1 Nd 0.222 0.446 0.110
Th1 Th 0.338 0.660 0.664
```


Record 10
# Tb8Al2Sn

A geometry-optimized Tb8Al2Sn structure (GGA-PBE, Alexandria).

Magnetic moment (μB/cell): 0.0
DOS at the Fermi energy (states/eV per cell): 21.78
Formation energy (eV per atom): -0.2673
VASP energy (eV/cell): -102.94

```
data_Tb8Al2Sn
_chemical_formula_sum 'Tb16 Al4 Sn2'
_cell_length_a 16.780
_cell_length_b 4.912
_cell_length_c 7.965
_cell_angle_alpha 90.00
_cell_angle_beta 111.36
_cell_angle_gamma 90.00
_space_group_name_H-M_alt 'C 1 2/m 1'
_space_group_IT_number 12
_space_group_name_Hall '-C 2y'
loop_
_atom_site_label
_atom_site_type_symbol
_atom_site_fract_x
_atom_site_fract_y
_atom_site_fract_z
Tb1 Tb 0.050 0.000 0.231
Tb2 Tb 0.105 0.500 0.959
Tb3 Tb 0.155 0.000 0.723
Tb4 Tb 0.179 0.500 0.441
Al1 Al 0.219 0.000 0.155
Sn1 Sn 0.000 0.500 0.500
```


Record 11
# LiTaAl

A geometry-optimized LiTaAl structure (GGA-PBE, Alexandria).

Magnetic moment (μB/cell): 0.0
DOS at the Fermi energy (states/eV per cell): 1.99
Formation energy (eV per atom): 0.0324
VASP energy (eV/cell): -34.82

```
data_LiTaAl
_chemical_formula_sum 'Li2 Ta2 Al2'
_cell_length_a 2.894
_cell_length_b 2.894
_cell_length_c 11.377
_cell_angle_alpha 90.00
_cell_angle_beta 90.00
_cell_angle_gamma 90.00
_space_group_name_H-M_alt 'I 4 m m'
_space_group_IT_number 107
_space_group_name_Hall 'I 4 -2'
loop_
_atom_site_label
_atom_site_type_symbol
_atom_site_fract_x
_atom_site_fract_y
_atom_site_fract_z
Li1 Li 0.000 0.000 0.000
Ta1 Ta 0.000 0.000 0.680
Al1 Al 0.000 0.000 0.350
```


Record 12
# SrTcNi2

A geometry-optimized SrTcNi2 structure (GGA-PBE, Alexandria).

Magnetic moment (μB/cell): 12.1
DOS at the Fermi energy (states/eV per cell): 16.45
Formation energy (eV per atom): 0.6675
VASP energy (eV/cell): -83.76

```
data_SrTcNi2
_chemical_formula_sum 'Sr4 Tc4 Ni8'
_cell_length_a 6.520
_cell_length_b 6.520
_cell_length_c 6.520
_cell_angle_alpha 90.00
_cell_angle_beta 90.00
_cell_angle_gamma 90.00
_space_group_name_H-M_alt 'F m -3 m'
_space_group_IT_number 225
_space_group_name_Hall '-F 4 2 3'
loop_
_atom_site_label
_atom_site_type_symbol
_atom_site_fract_x
_atom_site_fract_y
_atom_site_fract_z
Sr1 Sr 0.000 0.000 0.000
Tc1 Tc 0.000 0.000 0.500
Ni1 Ni 0.250 0.250 0.250
```


Record 13
# HoTmMgPa

A geometry-optimized HoTmMgPa structure (GGA-PBE, Alexandria).

Magnetic moment (μB/cell): 9.8
DOS at the Fermi energy (states/eV per cell): 31.04
Formation energy (eV per atom): 0.3448
VASP energy (eV/cell): -75.04

```
data_HoTmMgPa
_chemical_formula_sum 'Ho4 Tm4 Mg4 Pa4'
_cell_length_a 7.614
_cell_length_b 7.614
_cell_length_c 7.614
_cell_angle_alpha 90.00
_cell_angle_beta 90.00
_cell_angle_gamma 90.00
_space_group_name_H-M_alt 'F -4 3 m'
_space_group_IT_number 216
_space_group_name_Hall 'F -4 2 3'
loop_
_atom_site_label
_atom_site_type_symbol
_atom_site_fract_x
_atom_site_fract_y
_atom_site_fract_z
Ho1 Ho 0.000 0.000 0.000
Tm1 Tm 0.000 0.000 0.500
Mg1 Mg 0.250 0.250 0.750
Pa1 Pa 0.250 0.250 0.250
```


Record 14
# MgNF3

A geometry-optimized MgNF3 structure (GGA-PBE, Alexandria).

Magnetic moment (μB/cell): 4.0
Formation energy without anion corrections (eV/atom): -1.5770
DOS at the Fermi energy (states/eV per cell): 0.00
VASP energy (eV/cell): -46.84

```
data_MgNF3
_chemical_formula_sum 'Mg2 N2 F6'
_cell_length_a 3.837
_cell_length_b 5.619
_cell_length_c 8.239
_cell_angle_alpha 103.53
_cell_angle_beta 92.88
_cell_angle_gamma 109.79
_space_group_name_H-M_alt 'P -1'
_space_group_IT_number 2
_space_group_name_Hall '-P 1'
loop_
_atom_site_label
_atom_site_type_symbol
_atom_site_fract_x
_atom_site_fract_y
_atom_site_fract_z
Mg1 Mg 0.123 0.252 0.465
N1 N 0.133 0.339 0.163
F1 F 0.076 0.114 0.660
F2 F 0.152 0.767 0.961
F3 F 0.333 0.655 0.557
```


Record 15
# SrPmAgGe

A geometry-optimized SrPmAgGe structure (GGA-PBE, Alexandria).

Magnetic moment (μB/cell): 0.0
DOS at the Fermi energy (states/eV per cell): 6.41
Formation energy (eV per atom): -0.4579
VASP energy (eV/cell): -62.93

```
data_SrPmAgGe
_chemical_formula_sum 'Sr4 Pm4 Ag4 Ge4'
_cell_length_a 7.538
_cell_length_b 7.538
_cell_length_c 7.538
_cell_angle_alpha 90.00
_cell_angle_beta 90.00
_cell_angle_gamma 90.00
_space_group_name_H-M_alt 'F -4 3 m'
_space_group_IT_number 216
_space_group_name_Hall 'F -4 2 3'
loop_
_atom_site_label
_atom_site_type_symbol
_atom_site_fract_x
_atom_site_fract_y
_atom_site_fract_z
Sr1 Sr 0.000 0.000 0.000
Pm1 Pm 0.000 0.000 0.500
Ag1 Ag 0.250 0.250 0.750
Ge1 Ge 0.250 0.250 0.250
```


Record 16
# MnInRu3

A geometry-optimized MnInRu3 structure (GGA-PBE, Alexandria).

Magnetic moment (μB/cell): 0.0
DOS at the Fermi energy (states/eV per cell): 7.38
Formation energy (eV per atom): 1.0049
VASP energy (eV/cell): -34.71

```
data_MnInRu3
_chemical_formula_sum 'Mn1 In1 Ru3'
_cell_length_a 4.437
_cell_length_b 4.437
_cell_length_c 4.437
_cell_angle_alpha 90.00
_cell_angle_beta 90.00
_cell_angle_gamma 90.00
_space_group_name_H-M_alt 'P m -3 m'
_space_group_IT_number 221
_space_group_name_Hall '-P 4 2 3'
loop_
_atom_site_label
_atom_site_type_symbol
_atom_site_fract_x
_atom_site_fract_y
_atom_site_fract_z
Mn1 Mn 0.000 0.000 0.000
In1 In 0.500 0.500 0.500
Ru1 Ru 0.000 0.000 0.500
```


Record 17
# Pr3PtAu

A geometry-optimized Pr3PtAu structure (GGA-PBE, Alexandria).

Magnetic moment (μB/cell): 0.0
DOS at the Fermi energy (states/eV per cell): 9.07
Formation energy (eV per atom): -0.7319
VASP energy (eV/cell): -54.63

```
data_Pr3PtAu
_chemical_formula_sum 'Pr6 Pt2 Au2'
_cell_length_a 4.553
_cell_length_b 6.023
_cell_length_c 11.125
_cell_angle_alpha 76.29
_cell_angle_beta 78.26
_cell_angle_gamma 89.98
_space_group_name_H-M_alt 'P -1'
_space_group_IT_number 2
_space_group_name_Hall '-P 1'
loop_
_atom_site_label
_atom_site_type_symbol
_atom_site_fract_x
_atom_site_fract_y
_atom_site_fract_z
Pr1 Pr 0.052 0.294 0.398
Pr2 Pr 0.228 0.226 0.044
Pr3 Pr 0.401 0.172 0.698
Pt1 Pt 0.175 0.708 0.150
Au1 Au 0.353 0.634 0.793
```


Record 18
# CePmNd2As4

A geometry-optimized CePmNd2As4 structure (GGA-PBE, Alexandria).

Magnetic moment (μB/cell): 0.6
DOS at the Fermi energy (states/eV per cell): 6.39
Formation energy (eV per atom): -1.5008
VASP energy (eV/cell): -50.82

```
data_CePmNd2As4
_chemical_formula_sum 'Ce1 Pm1 Nd2 As4'
_cell_length_a 7.357
_cell_length_b 4.249
_cell_length_c 7.359
_cell_angle_alpha 90.00
_cell_angle_beta 109.40
_cell_angle_gamma 90.00
_space_group_name_H-M_alt 'P 1 2/m 1'
_space_group_IT_number 10
_space_group_name_Hall '-P 2y'
loop_
_atom_site_label
_atom_site_type_symbol
_atom_site_fract_x
_atom_site_fract_y
_atom_site_fract_z
Ce1 Ce 0.000 0.000 0.000
Pm1 Pm 0.500 0.500 0.000
Nd1 Nd 0.000 0.500 0.500
Nd2 Nd 0.500 0.000 0.500
As1 As 0.246 0.500 0.245
As2 As 0.249 0.000 0.754
```


Record 19
# La2PrThS4

A geometry-optimized La2PrThS4 structure (GGA-PBE, Alexandria).

Magnetic moment (μB/cell): 0.0
Formation energy without anion corrections (eV/atom): -2.0481
DOS at the Fermi energy (states/eV per cell): 3.75
VASP energy (eV/cell): -54.95

```
data_La2PrThS4
_chemical_formula_sum 'La2 Pr1 Th1 S4'
_cell_length_a 7.124
_cell_length_b 4.106
_cell_length_c 7.126
_cell_angle_alpha 90.00
_cell_angle_beta 109.46
_cell_angle_gamma 90.00
_space_group_name_H-M_alt 'P 1 2/m 1'
_space_group_IT_number 10
_space_group_name_Hall '-P 2y'
loop_
_atom_site_label
_atom_site_type_symbol
_atom_site_fract_x
_atom_site_fract_y
_atom_site_fract_z
La1 La 0.000 0.000 0.000
La2 La 0.000 0.500 0.500
Pr1 Pr 0.500 0.000 0.500
Th1 Th 0.500 0.500 0.000
S1 S 0.255 0.500 0.249
S2 S 0.256 0.000 0.754
```


Record 20
# ZrTl2Mo

A geometry-optimized ZrTl2Mo structure (GGA-PBE, Alexandria).

Magnetic moment (μB/cell): 0.0
DOS at the Fermi energy (states/eV per cell): 3.70
Formation energy (eV per atom): 0.3565
VASP energy (eV/cell): -45.37

```
data_ZrTl2Mo
_chemical_formula_sum 'Zr2 Tl4 Mo2'
_cell_length_a 3.554
_cell_length_b 4.880
_cell_length_c 10.017
_cell_angle_alpha 90.00
_cell_angle_beta 90.00
_cell_angle_gamma 90.00
_space_group_name_H-M_alt 'I m m 2'
_space_group_IT_number 44
_space_group_name_Hall 'I 2 -2'
loop_
_atom_site_label
_atom_site_type_symbol
_atom_site_fract_x
_atom_site_fract_y
_atom_site_fract_z
Zr1 Zr 0.000 0.000 0.000
Tl1 Tl 0.000 0.000 0.545
Tl2 Tl 0.000 0.500 0.776
Mo1 Mo 0.000 0.500 0.292
```